No. 1
! PBEsol NiAg2Os, optimized geometry; values from VASP
! **Energy of formation**: 0.57 eV per atom
! **Energy above the most stable polymorph in this dataset**: 0 meV per atom
&SYSTEM
  ibrav = 0, nat = 4, ntyp = 3
/
ATOMIC_SPECIES
Ni 58.69 Ni.upf
Ag 107.87 Ag.upf
Os 190.23 Os.upf
ATOMIC_POSITIONS crystal
Ni 0.000 0.000 0.000
Ag 0.000 0.500 0.500
Ag 0.500 0.000 0.500
Os 0.500 0.500 0.000
CELL_PARAMETERS angstrom
2.661 0.000 0.000
0.000 4.574 0.000
0.000 0.000 4.764

=====

No. 2
! PBEsol MgScIn2, optimized geometry; values from VASP
! **Energy of formation**: -0.41 eV per atom
&SYSTEM
  ibrav = 0, nat = 4, ntyp = 3
/
ATOMIC_SPECIES
Mg 24.30 Mg.upf
Sc 44.96 Sc.upf
In 114.82 In.upf
ATOMIC_POSITIONS crystal
Mg 0.000 0.000 0.000
Sc 0.500 0.500 0.000
In 0.000 0.500 0.500
In 0.500 0.000 0.500
CELL_PARAMETERS angstrom
4.450 0.000 0.000
0.000 4.450 0.000
0.000 0.000 4.299

=====

No. 3
! PBEsol Ba2ZnSe, optimized geometry; values from VASP
! **Formation energy from raw total energies**: -19.96 kcal/mol of atoms
! **Energy above the most stable polymorph in this dataset**: 0 meV per atom
&SYSTEM
  ibrav = 0, nat = 4, ntyp = 3
/
ATOMIC_SPECIES
Ba 137.33 Ba.upf
Zn 65.41 Zn.upf
Se 78.96 Se.upf
ATOMIC_POSITIONS crystal
Ba 0.000 0.000 0.000
Ba 0.500 0.499 0.499
Zn 0.500 0.998 0.998
Se 0.000 0.500 0.500
CELL_PARAMETERS angstrom
6.669 0.000 0.000
0.000 3.319 3.319
0.000 -3.319 3.319

=====

No. 4
! PBEsol BaMgI3, optimized geometry; values from VASP
! **Formation energy from raw total energies**: -24.25 kcal/mol of atoms
&SYSTEM
  ibrav = 0, nat = 5, ntyp = 3
/
ATOMIC_SPECIES
Ba 137.33 Ba.upf
Mg 24.30 Mg.upf
I 126.90 I.upf
ATOMIC_POSITIONS crystal
Ba 0.000 0.000 0.000
Mg 0.500 0.500 0.500
I 0.000 0.500 0.500
I 0.500 0.000 0.500
I 0.500 0.500 0.000
CELL_PARAMETERS angstrom
5.700 0.000 0.000
0.000 5.700 0.000
0.000 0.000 5.700

=====

No. 5
! PBEsol SrBAsC2, optimized geometry; values from VASP
! **Energy of formation**: 1.87 eV per atom
&SYSTEM
  ibrav = 0, nat = 5, ntyp = 4
/
ATOMIC_SPECIES
Sr 87.62 Sr.upf
B 10.81 B.upf
As 74.92 As.upf
C 12.01 C.upf
ATOMIC_POSITIONS crystal
Sr 0.000 0.000 0.000
B 0.000 0.000 0.500
As 0.500 0.500 0.000
C 0.000 0.500 0.500
C 0.500 0.000 0.500
CELL_PARAMETERS angstrom
3.750 0.000 0.000
0.000 3.750 0.000
0.000 0.000 4.984

=====

No. 6
! PBEsol ReRu2Cl2, optimized geometry; values from VASP
! **Formation energy from raw total energies**: 27.71 kcal/mol of atoms
&SYSTEM
  ibrav = 0, nat = 5, ntyp = 3
/
ATOMIC_SPECIES
Re 186.21 Re.upf
Ru 101.07 Ru.upf
Cl 35.45 Cl.upf
ATOMIC_POSITIONS crystal
Re 0.000 0.000 0.000
Ru 0.250 0.750 0.500
Ru 0.750 0.250 0.500
Cl 0.316 0.316 0.000
Cl 0.684 0.684 0.000
CELL_PARAMETERS angstrom
-2.337 2.337 3.532
2.337 -2.337 3.532
2.337 2.337 -3.532

=====

No. 7
! PBEsol ScGaRh2Pb, optimized geometry; values from VASP
! **Energy of formation**: 0.24 eV per atom
&SYSTEM
  ibrav = 0, nat = 5, ntyp = 4
/
ATOMIC_SPECIES
Sc 44.96 Sc.upf
Ga 69.72 Ga.upf
Rh 102.91 Rh.upf
Pb 207.20 Pb.upf
ATOMIC_POSITIONS crystal
Sc 0.000 0.000 0.000
Ga 0.000 0.000 0.500
Rh 0.000 0.500 0.500
Rh 0.500 0.000 0.500
Pb 0.500 0.500 0.000
CELL_PARAMETERS angstrom
4.529 0.000 0.000
0.000 4.529 0.000
0.000 0.000 4.908

=====

No. 8
! PBEsol FeSbSe2, optimized geometry; values from VASP
! **Formation energy from raw total energies**: 1.98 kcal/mol of atoms
&SYSTEM
  ibrav = 0, nat = 4, ntyp = 3
/
ATOMIC_SPECIES
Fe 55.84 Fe.upf
Sb 121.76 Sb.upf
Se 78.96 Se.upf
ATOMIC_POSITIONS crystal
Fe 0.000 0.000 0.000
Sb 0.500 0.500 0.211
Se 0.000 0.000 0.532
Se 0.500 0.500 0.862
CELL_PARAMETERS angstrom
2.927 0.000 0.000
0.000 2.927 0.000
0.000 0.000 9.029

=====

No. 9
! PBEsol BaAs2SBr, optimized geometry; values from VASP
! **Formation energy from raw total energies**: -9.19 kcal/mol of atoms
&SYSTEM
  ibrav = 0, nat = 5, ntyp = 4
/
ATOMIC_SPECIES
Ba 137.33 Ba.upf
As 74.92 As.upf
S 32.06 S.upf
Br 79.90 Br.upf
ATOMIC_POSITIONS crystal
Ba 0.000 0.000 0.000
As 0.000 0.500 0.500
As 0.500 0.000 0.500
S 0.500 0.500 0.500
Br 0.500 0.500 0.000
CELL_PARAMETERS angstrom
4.707 0.000 0.000
0.000 4.707 0.000
0.000 0.000 6.518

=====

No. 10
! PBEsol Cu3Mo, optimized geometry; values from VASP
! **Energy of formation**: 0.50 eV per atom
&SYSTEM
  ibrav = 0, nat = 4, ntyp = 2
/
ATOMIC_SPECIES
Cu 63.55 Cu.upf
Mo 95.94 Mo.upf
ATOMIC_POSITIONS crystal
Cu 0.000 0.000 0.500
Cu 0.000 0.500 0.000
Cu 0.500 0.000 0.000
Mo 0.500 0.500 0.500
CELL_PARAMETERS angstrom
3.700 0.000 0.000
0.000 3.700 0.000
0.000 0.000 3.700

=====

No. 11
! PBEsol NaMg3P, optimized geometry; values from VASP
! **Energy of formation**: 0.02 eV per atom
&SYSTEM
  ibrav = 0, nat = 5, ntyp = 3
/
ATOMIC_SPECIES
Na 22.99 Na.upf
Mg 24.30 Mg.upf
P 30.97 P.upf
ATOMIC_POSITIONS crystal
Na 0.000 0.000 0.000
Mg 0.000 0.500 0.500
Mg 0.500 0.000 0.500
Mg 0.500 0.500 0.000
P 0.500 0.500 0.500
CELL_PARAMETERS angstrom
5.044 0.000 0.000
0.000 5.044 0.000
0.000 0.000 5.044

=====

No. 12
! PBEsol As2HRuW, optimized geometry; values from VASP
! **Energy**: -36.2 eV per cell
&SYSTEM
  ibrav = 0, nat = 5, ntyp = 4
/
ATOMIC_SPECIES
As 74.92 As.upf
H 1.01 H.upf
Ru 101.07 Ru.upf
W 183.84 W.upf
ATOMIC_POSITIONS crystal
As 0.000 0.500 0.000
As 0.500 0.000 0.000
H 0.000 0.000 0.000
Ru 0.000 0.000 0.500
W 0.500 0.500 0.500
CELL_PARAMETERS angstrom
4.339 0.000 0.000
0.000 4.339 0.000
0.000 0.000 3.271

=====

No. 13
! PBEsol SrTl5, optimized geometry; values from VASP
! **Energy of formation**: -0.19 eV per atom
! **Energy above the most stable polymorph in this dataset**: 18 meV per atom
&SYSTEM
  ibrav = 0, nat = 6, ntyp = 2
/
ATOMIC_SPECIES
Sr 87.62 Sr.upf
Tl 204.38 Tl.upf
ATOMIC_POSITIONS crystal
Sr 0.000 0.000 0.000
Tl 0.000 0.000 0.500
Tl 0.322 0.322 0.655
Tl 0.336 0.336 0.176
Tl 0.664 0.664 0.824
Tl 0.678 0.678 0.345
CELL_PARAMETERS angstrom
5.706 -2.370 0.000
5.706 2.370 0.000
-2.883 0.000 6.377

=====

no.,V (Å³ per atom),calculated density (g/cm3),magnetization (Bohr magnetons per cell)
1,14.50,13.31,0.58
2,21.29,5.83,0.00
3,36.73,4.74,0.00
4,37.05,4.86,0.00
5,14.02,4.68,0.00
6,15.44,9.88,1.07
7,20.13,8.71,0.00
8,19.34,7.20,0.97
9,28.88,4.59,0.00
10,12.67,9.39,1.28
11,25.66,1.64,0.00
12,12.31,11.75,0.00
13,28.74,10.68,0.00